# PBE Ba3Sb5Se12, optimized geometry
# ΔE_f (raw): -0.723 eV/atom
# SG: Ia-3d (230)
data_Ba3Sb5Se12
_cell_length_a 15.238
_cell_length_b 15.238
_cell_length_c 15.238
_cell_angle_alpha 109.47
_cell_angle_beta 109.47
_cell_angle_gamma 109.47
_symmetry_space_group_name_H-M 'P 1'
_symmetry_Int_Tables_number 1
loop_
_symmetry_equiv_pos_as_xyz
'x,y,z'
loop_
_atom_site_label
_atom_site_type_symbol
_atom_site_fract_x
_atom_site_fract_y
_atom_site_fract_z
Se1 Se 0.472 0.795 0.879
Se2 Se 0.407 0.379 0.584
Se3 Se 0.093 0.916 0.121
Se4 Se 0.907 0.084 0.879
Sb1 Sb 0.750 0.625 0.375
Se5 Se 0.584 0.705 0.677
Se6 Se 0.677 0.472 0.593
Se7 Se 0.084 0.907 0.379
Sb2 Sb 0.000 0.000 0.500
Ba1 Ba 0.875 0.125 0.250
Se8 Se 0.621 0.593 0.916
Ba2 Ba 0.875 0.750 0.125
Se9 Se 0.028 0.407 0.823
Se10 Se 0.379 0.407 0.084
Se11 Se 0.879 0.295 0.472
Sb3 Sb 0.375 0.125 0.750
Se12 Se 0.972 0.593 0.177
Sb4 Sb 0.625 0.750 0.875
Sb5 Sb 0.875 0.625 0.750
Sb6 Sb 0.250 0.375 0.625
Se13 Se 0.823 0.916 0.295
Sb7 Sb 0.875 0.250 0.625
Ba3 Ba 0.750 0.375 0.125
Se14 Se 0.379 0.972 0.795
Se15 Se 0.593 0.621 0.416
Se16 Se 0.795 0.472 0.379
Se17 Se 0.705 0.121 0.028
Se18 Se 0.295 0.416 0.823
Se19 Se 0.916 0.093 0.621
Sb8 Sb 0.000 0.500 0.500
Se20 Se 0.084 0.177 0.205
Ba4 Ba 0.375 0.750 0.625
Sb9 Sb 0.250 0.875 0.125
Se21 Se 0.205 0.528 0.621
Sb10 Sb 0.000 0.500 0.000
Se22 Se 0.795 0.323 0.916
Se23 Se 0.528 0.205 0.121
Se24 Se 0.323 0.795 0.416
Se25 Se 0.416 0.295 0.323
Se26 Se 0.177 0.084 0.705
Se27 Se 0.593 0.972 0.677
Se28 Se 0.879 0.584 0.907
Se29 Se 0.323 0.528 0.407
Se30 Se 0.295 0.879 0.972
Sb11 Sb 0.500 0.500 0.000
Ba5 Ba 0.250 0.625 0.875
Se31 Se 0.528 0.323 0.907
Sb12 Sb 0.625 0.875 0.250
Sb13 Sb 0.500 0.500 0.500
Sb14 Sb 0.750 0.125 0.875
Se32 Se 0.093 0.177 0.472
Sb15 Sb 0.125 0.750 0.375
Ba6 Ba 0.250 0.125 0.375
Ba7 Ba 0.625 0.250 0.375
Ba8 Ba 0.125 0.875 0.750
Se33 Se 0.823 0.907 0.028
Se34 Se 0.677 0.205 0.584
Se35 Se 0.205 0.677 0.084
Ba9 Ba 0.125 0.250 0.875
Se36 Se 0.916 0.823 0.795
Sb16 Sb 0.500 0.000 0.000
Ba10 Ba 0.625 0.375 0.750
Se37 Se 0.621 0.028 0.205
Se38 Se 0.705 0.584 0.177
Se39 Se 0.177 0.093 0.972
Ba11 Ba 0.750 0.875 0.625
Se40 Se 0.121 0.705 0.528
Se41 Se 0.028 0.621 0.705
Se42 Se 0.584 0.879 0.407
Sb17 Sb 0.375 0.250 0.125
Sb18 Sb 0.000 0.000 0.000
Se43 Se 0.907 0.823 0.528
Se44 Se 0.972 0.379 0.295
Sb19 Sb 0.125 0.375 0.250
Se45 Se 0.416 0.121 0.593
Ba12 Ba 0.375 0.625 0.250
Se46 Se 0.407 0.028 0.323
Sb20 Sb 0.500 0.000 0.500
Se47 Se 0.121 0.416 0.093
Se48 Se 0.472 0.677 0.093

=====

# PBE CaAlSe3, optimized geometry
# ΔE_f (raw): -0.809 eV/atom
# polymorph energy (0 for the lowest one): 0 meV/atom
# SG: Pm-3m (221)
data_CaAlSe3
_cell_length_a 4.962
_cell_length_b 4.962
_cell_length_c 4.962
_cell_angle_alpha 90.00
_cell_angle_beta 90.00
_cell_angle_gamma 90.00
_symmetry_space_group_name_H-M 'P 1'
_symmetry_Int_Tables_number 1
loop_
_symmetry_equiv_pos_as_xyz
'x,y,z'
loop_
_atom_site_label
_atom_site_type_symbol
_atom_site_fract_x
_atom_site_fract_y
_atom_site_fract_z
Ca1 Ca 0.500 0.500 0.500
Al1 Al 0.000 0.000 0.000
Se1 Se 0.000 0.500 0.000
Se2 Se 0.000 0.000 0.500
Se3 Se 0.500 0.000 0.000

=====

# PBE P2C, optimized geometry
# E_form: 1.124 eV per atom
# polymorph energy (0 for the lowest one): 694 meV/atom
# SG: R-3m (166)
data_P2C
_cell_length_a 6.509
_cell_length_b 6.509
_cell_length_c 6.509
_cell_angle_alpha 24.63
_cell_angle_beta 24.63
_cell_angle_gamma 24.63
_symmetry_space_group_name_H-M 'P 1'
_symmetry_Int_Tables_number 1
loop_
_symmetry_equiv_pos_as_xyz
'x,y,z'
loop_
_atom_site_label
_atom_site_type_symbol
_atom_site_fract_x
_atom_site_fract_y
_atom_site_fract_z
C1 C 0.000 0.000 0.000
P1 P 0.734 0.734 0.734
P2 P 0.266 0.266 0.266

=====

# PBE PrInRh, optimized geometry
# E_form: -0.683 eV per atom
# SG: P2_1/m (11)
data_PrInRh
_cell_length_a 4.213
_cell_length_b 7.613
_cell_length_c 12.947
_cell_angle_alpha 88.85
_cell_angle_beta 90.00
_cell_angle_gamma 90.00
_symmetry_space_group_name_H-M 'P 1'
_symmetry_Int_Tables_number 1
loop_
_symmetry_equiv_pos_as_xyz
'x,y,z'
loop_
_atom_site_label
_atom_site_type_symbol
_atom_site_fract_x
_atom_site_fract_y
_atom_site_fract_z
Rh1 Rh 0.750 0.754 0.583
Pr1 Pr 0.250 0.341 0.918
In1 In 0.750 0.623 0.796
Pr2 Pr 0.250 0.951 0.713
Pr3 Pr 0.750 0.539 0.375
In2 In 0.250 0.859 0.456
Pr4 Pr 0.250 0.461 0.625
Rh2 Rh 0.250 0.745 0.249
Rh3 Rh 0.750 0.245 0.085
In3 In 0.250 0.377 0.204
Rh4 Rh 0.250 0.246 0.417
Rh5 Rh 0.250 0.755 0.915
Pr5 Pr 0.750 0.049 0.287
Pr6 Pr 0.750 0.659 0.082
Rh6 Rh 0.750 0.255 0.751
In4 In 0.750 0.141 0.544
In5 In 0.250 0.997 0.087
In6 In 0.750 0.003 0.913

=====

# PBE Tb7Ho12Th, optimized geometry
# E_form: 0.741 eV per atom
# polymorph energy (0 for the lowest one): 499 meV/atom
# SG: Im-3 (204)
data_Tb7Ho12Th
_cell_length_a 9.701
_cell_length_b 9.701
_cell_length_c 9.701
_cell_angle_alpha 109.47
_cell_angle_beta 109.47
_cell_angle_gamma 109.47
_symmetry_space_group_name_H-M 'P 1'
_symmetry_Int_Tables_number 1
loop_
_symmetry_equiv_pos_as_xyz
'x,y,z'
loop_
_atom_site_label
_atom_site_type_symbol
_atom_site_fract_x
_atom_site_fract_y
_atom_site_fract_z
Ho1 Ho 0.999 0.754 0.246
Ho2 Ho 0.754 0.508 0.754
Tb1 Tb 0.000 0.500 0.000
Ho3 Ho 0.754 0.001 0.246
Th1 Th 0.000 0.000 0.000
Tb2 Tb 0.500 0.000 0.500
Ho4 Ho 0.492 0.246 0.246
Ho5 Ho 0.754 0.246 0.999
Ho6 Ho 0.246 0.246 0.492
Ho7 Ho 0.246 0.754 0.001
Tb3 Tb 0.500 0.500 0.500
Tb4 Tb 0.500 0.500 0.000
Tb5 Tb 0.500 0.000 0.000
Ho8 Ho 0.754 0.754 0.508
Tb6 Tb 0.000 0.500 0.500
Ho9 Ho 0.508 0.754 0.754
Tb7 Tb 0.000 0.000 0.500
Ho10 Ho 0.246 0.999 0.754
Ho11 Ho 0.246 0.492 0.246
Ho12 Ho 0.001 0.246 0.754

=====

# PBE PmZn5Ni2, optimized geometry
# E_form: -0.274 eV per atom
# SG: Immm (71)
data_PmZn5Ni2
_cell_length_a 3.902
_cell_length_b 6.198
_cell_length_c 6.198
_cell_angle_alpha 71.43
_cell_angle_beta 71.65
_cell_angle_gamma 71.65
_symmetry_space_group_name_H-M 'P 1'
_symmetry_Int_Tables_number 1
loop_
_symmetry_equiv_pos_as_xyz
'x,y,z'
loop_
_atom_site_label
_atom_site_type_symbol
_atom_site_fract_x
_atom_site_fract_y
_atom_site_fract_z
Zn1 Zn 0.655 0.528 0.161
Zn2 Zn 0.000 0.500 0.500
Zn3 Zn 0.655 0.161 0.528
Ni1 Ni 0.259 0.241 0.241
Pm1 Pm 0.000 0.000 0.000
Zn4 Zn 0.345 0.472 0.839
Zn5 Zn 0.345 0.839 0.472
Ni2 Ni 0.741 0.759 0.759